A plane-wave DFT calculation with GGA-PBE was carried out for a geometry-optimized CoTeW structure.

a = 4.196 Å, b = 4.196 Å, c = 4.196 Å
α = 60.00°, β = 60.00°, γ = 60.00°
Sites, in units of the cell vectors:
1 Co 0.000 0.000 0.000
2 Te 0.250 0.250 0.250
3 W 0.750 0.750 0.750

Summary:
The space group is F-43m (216). As for the raw total energy: -0.25698 hartree per atom. The value obtained for the offset from the most stable computed form is 0.000 eV per atom.

=====

A plane-wave DFT calculation with GGA-PBE was carried out for a geometry-optimized TlHg3IrSe4 structure.

a = 6.990 Å, b = 6.990 Å, c = 6.990 Å
α = 90.00°, β = 90.00°, γ = 90.00°
Sites, in units of the cell vectors:
1 Tl 0.500 0.500 0.500
2 Se 0.803 0.197 0.197
3 Se 0.197 0.197 0.803
4 Se 0.197 0.803 0.197
5 Se 0.803 0.803 0.803
6 Hg 0.000 0.000 0.500
7 Hg 0.000 0.500 0.000
8 Hg 0.500 0.000 0.000
9 Ir 0.000 0.000 0.000

Summary:
The space group is P-43m (215). As for the raw total energy: -0.10170 hartree per atom.

=====

A plane-wave DFT calculation with GGA-PBE was carried out for a geometry-optimized LiFeBTe structure.

a = 4.156 Å, b = 4.156 Å, c = 4.156 Å
α = 60.00°, β = 60.00°, γ = 60.00°
Sites, in units of the cell vectors:
1 Li 0.750 0.750 0.750
2 B 0.000 0.000 0.000
3 Fe 0.250 0.250 0.250
4 Te 0.500 0.500 0.500

Summary:
The space group is F-43m (216). As for the raw total energy: -0.16311 hartree per atom. The value obtained for the offset from the most stable computed form is 0.000 eV per atom.

=====

A plane-wave DFT calculation with GGA-PBE was carried out for a geometry-optimized NaAg2PSe4 structure.

a = 6.533 Å, b = 6.533 Å, c = 6.533 Å
α = 116.30°, β = 116.30°, γ = 96.55°
Sites, in units of the cell vectors:
1 Se 0.165 0.548 0.000
2 Se 0.835 0.835 0.383
3 Se 0.548 0.165 0.000
4 Se 0.452 0.452 0.617
5 Ag 0.750 0.250 0.500
6 Ag 0.250 0.750 0.500
7 Na 0.000 0.000 0.000
8 P 0.500 0.500 0.000

Summary:
The space group is I-42m (121). As for the raw total energy: -0.13256 hartree per atom.

=====

A plane-wave DFT calculation with GGA-PBE was carried out for a geometry-optimized AcSnPt structure.

a = 4.763 Å, b = 4.763 Å, c = 4.174 Å
α = 90.00°, β = 90.00°, γ = 120.00°
Sites, in units of the cell vectors:
1 Ac 0.000 0.000 0.000
2 Sn 0.667 0.333 0.500
3 Pt 0.333 0.667 0.500

Summary:
The space group is P-6m2 (187). As for the raw total energy: -0.20894 hartree per atom. The value obtained for the offset from the most stable computed form is 0.000 eV per atom.

=====

A plane-wave DFT calculation with GGA-PBE was carried out for a geometry-optimized ErPtNO structure.

a = 4.808 Å, b = 4.808 Å, c = 4.434 Å
α = 90.00°, β = 90.00°, γ = 90.00°
Sites, in units of the cell vectors:
1 Er 0.750 0.250 0.500
2 Er 0.250 0.750 0.500
3 N 0.250 0.250 0.501
4 N 0.750 0.750 0.499
5 Pt 0.750 0.750 0.999
6 Pt 0.250 0.250 0.001
7 O 0.250 0.750 0.000
8 O 0.750 0.250 0.000

Summary:
The space group is P4/mmm (123). As for the raw total energy: -0.25539 hartree per atom. The value obtained for the offset from the most stable computed form is 0.546 eV per atom.

=====

A plane-wave DFT calculation with GGA-PBE was carried out for a geometry-optimized Y2Hf4In3C3 structure.

a = 5.928 Å, b = 5.928 Å, c = 15.383 Å
α = 100.85°, β = 90.27°, γ = 119.96°
Sites, in units of the cell vectors:
1 C 0.848 0.174 0.500
2 C 0.000 0.500 0.000
3 C 0.674 0.848 0.000
4 C 0.152 0.826 0.500
5 C 0.326 0.152 0.000
6 C 0.500 0.500 0.500
7 In 0.024 0.774 0.750
8 In 0.144 0.334 0.749
9 In 0.415 0.105 0.249
10 In 0.856 0.666 0.251
11 In 0.976 0.226 0.250
12 In 0.585 0.895 0.751
13 Hf 0.852 0.885 0.577
14 Hf 0.799 0.440 0.423
15 Hf 0.983 0.124 0.923
16 Hf 0.308 0.775 0.923
17 Hf 0.692 0.225 0.077
18 Hf 0.148 0.115 0.423
19 Hf 0.201 0.560 0.577
20 Hf 0.017 0.876 0.077
21 Y 0.373 0.567 0.103
22 Y 0.627 0.433 0.897
23 Y 0.465 0.770 0.397
24 Y 0.535 0.230 0.603

Summary:
The space group is C2/c (15). As for the raw total energy: -0.29499 hartree per atom.

=====

A plane-wave DFT calculation with GGA-PBE was carried out for a geometry-optimized NpBiTe structure.

a = 5.214 Å, b = 5.214 Å, c = 5.214 Å
α = 60.00°, β = 60.00°, γ = 60.00°
Sites, in units of the cell vectors:
1 Np 0.750 0.750 0.750
2 Te 0.000 0.000 0.000
3 Bi 0.250 0.250 0.250

Summary:
The space group is F-43m (216). As for the raw total energy: -0.23999 hartree per atom.

=====

A plane-wave DFT calculation with GGA-PBE was carried out for a geometry-optimized Y2ErFe6Co2Ni structure.

a = 8.663 Å, b = 8.663 Å, c = 8.663 Å
α = 33.67°, β = 33.67°, γ = 33.67°
Sites, in units of the cell vectors:
1 Co 0.333 0.333 0.333
2 Co 0.667 0.667 0.667
3 Y 0.858 0.858 0.858
4 Y 0.142 0.142 0.142
5 Fe 0.419 0.920 0.419
6 Fe 0.920 0.419 0.419
7 Fe 0.419 0.419 0.920
8 Fe 0.581 0.080 0.581
9 Fe 0.581 0.581 0.080
10 Fe 0.080 0.581 0.581
11 Ni 0.500 0.500 0.500
12 Er 0.000 0.000 0.000

Summary:
The space group is R-3m (166). The value obtained for the formation energy is -0.114 eV/atom. As for the raw total energy: -0.27103 hartree per atom.

=====

A plane-wave DFT calculation with GGA-PBE was carried out for a geometry-optimized InIrAuS3 structure.

a = 7.384 Å, b = 7.384 Å, c = 9.403 Å
α = 90.00°, β = 90.00°, γ = 28.91°
Sites, in units of the cell vectors:
1 S 0.893 0.893 0.018
2 S 0.549 0.549 0.250
3 S 0.107 0.107 0.518
4 S 0.107 0.107 0.982
5 S 0.451 0.451 0.750
6 S 0.893 0.893 0.482
7 Ir 0.500 0.500 0.500
8 Ir 0.500 0.500 0.000
9 In 0.181 0.181 0.250
10 In 0.819 0.819 0.750
11 Au 0.830 0.830 0.250
12 Au 0.170 0.170 0.750

Summary:
The space group is Cmcm (63). As for the raw total energy: -0.17672 hartree per atom.

=====

A plane-wave DFT calculation with GGA-PBE was carried out for a geometry-optimized TbSiB structure.

a = 4.110 Å, b = 4.110 Å, c = 4.110 Å
α = 60.00°, β = 60.00°, γ = 60.00°
Sites, in units of the cell vectors:
1 B 0.000 0.000 0.000
2 Tb 0.750 0.750 0.750
3 Si 0.250 0.250 0.250

Summary:
The space group is F-43m (216). As for the raw total energy: -0.20132 hartree per atom. The value obtained for the offset from the most stable computed form is 0.000 eV per atom.

=====

A plane-wave DFT calculation with GGA-PBE was carried out for a geometry-optimized ErTm3Ni8 structure.

a = 8.687 Å, b = 8.687 Å, c = 8.687 Å
α = 33.49°, β = 33.49°, γ = 33.49°
Sites, in units of the cell vectors:
1 Tm 0.625 0.625 0.625
2 Tm 0.000 0.000 0.000
3 Tm 0.500 0.500 0.500
4 Ni 0.313 0.313 0.313
5 Ni 0.062 0.562 0.562
6 Ni 0.562 0.062 0.562
7 Ni 0.563 0.062 0.062
8 Ni 0.562 0.562 0.062
9 Ni 0.813 0.813 0.813
10 Ni 0.062 0.062 0.563
11 Ni 0.062 0.563 0.062
12 Er 0.125 0.125 0.125

Summary:
The space group is R3m (160). The value obtained for the formation energy is -0.493 eV/atom. As for the raw total energy: -0.20962 hartree per atom.